First-principles (PBE) data for CePaCrN3 after structural relaxation, as listed in Alexandria via LeMat-Bulk.

Lattice parameters (Å, degrees): 7.200 3.351 7.426 90.00 100.37 90.00
Fractional positions:
Ce (0.195, 0.250, 0.166)
Ce (0.805, 0.750, 0.834)
Pa (0.184, 0.250, 0.653)
Pa (0.816, 0.750, 0.347)
Cr (0.420, 0.750, 0.912)
Cr (0.580, 0.250, 0.088)
N (0.135, 0.750, 0.424)
N (0.145, 0.750, 0.879)
N (0.460, 0.750, 0.179)
N (0.540, 0.250, 0.821)
N (0.855, 0.250, 0.121)
N (0.865, 0.250, 0.576)

## Properties
* E_form (uncorrected): -1191 meV per atom
* ρ: 8.77 g/cm³
* space-group type: P2_1/m (11)
* volume: 14.7 A^3/atom


First-principles (PBE) data for SrTh3Bi4 after structural relaxation, as listed in Alexandria via LeMat-Bulk.

Lattice parameters (Å, degrees): 9.325 13.126 4.628 90.00 90.00 90.00
Fractional positions:
Sr (0.000, 0.000, 0.000)
Sr (0.500, 0.500, 0.000)
Th (0.000, 0.500, 0.000)
Th (0.250, 0.250, 0.500)
Th (0.250, 0.750, 0.500)
Th (0.500, 0.000, 0.000)
Th (0.750, 0.250, 0.500)
Th (0.750, 0.750, 0.500)
Bi (0.000, 0.252, 0.000)
Bi (0.000, 0.748, 0.000)
Bi (0.243, 0.500, 0.500)
Bi (0.257, 0.000, 0.500)
Bi (0.500, 0.248, 0.000)
Bi (0.500, 0.752, 0.000)
Bi (0.743, 0.000, 0.500)
Bi (0.757, 0.500, 0.500)

## Properties
* ρ: 9.50 g/cm³
* formation energy from the elements: -0.669 eV/atom
* space-group type: Cmmm (65)
* volume: 35.4 A^3/atom


> The lowest ρ belongs to which entry?

CePaCrN3


Repeat the first record exactly.
First-principles (PBE) data for CePaCrN3 after structural relaxation, as listed in Alexandria via LeMat-Bulk.

Lattice parameters (Å, degrees): 7.200 3.351 7.426 90.00 100.37 90.00
Fractional positions:
Ce (0.195, 0.250, 0.166)
Ce (0.805, 0.750, 0.834)
Pa (0.184, 0.250, 0.653)
Pa (0.816, 0.750, 0.347)
Cr (0.420, 0.750, 0.912)
Cr (0.580, 0.250, 0.088)
N (0.135, 0.750, 0.424)
N (0.145, 0.750, 0.879)
N (0.460, 0.750, 0.179)
N (0.540, 0.250, 0.821)
N (0.855, 0.250, 0.121)
N (0.865, 0.250, 0.576)

## Properties
* E_form (uncorrected): -1191 meV per atom
* ρ: 8.77 g/cm³
* space-group type: P2_1/m (11)
* volume: 14.7 A^3/atom


> Look up the volume of the second one.

35.4 A^3/atom


> Among the records above, which one has the lowest volume?

CePaCrN3